(1)
A relaxed structure of Sr3HfCu, computed with PBE.

abc: 6.204 6.204 6.204
angles: 90.00 90.00 90.00
Element x y z (fractional)
Sr 0.000 0.000 0.500
Sr 0.000 0.500 0.000
Sr 0.500 0.000 0.000
Hf 0.000 0.000 0.000
Cu 0.500 0.500 0.500

Calculated values
Energy of formation from the pure elements   1.1995 eV per atom
D(E_F)   6.96 states/eV/f.u.
Total energy   -13.1 eV per cell
Energy above the most stable polymorph in this dataset   538 meV/atom

(2)
A relaxed structure of Sr2HfCu, computed with PBE.

abc: 8.238 8.238 8.238
angles: 95.27 95.27 144.73
Element x y z (fractional)
Sr 0.375 0.225 0.350
Sr 0.775 0.125 0.150
Sr 0.875 0.025 0.650
Sr 0.975 0.625 0.850
Hf 0.250 0.750 0.500
Hf 0.500 0.500 0.000
Cu 0.000 0.000 0.000
Cu 0.750 0.250 0.500

Calculated values
Energy of formation from the pure elements   0.6569 eV per atom
D(E_F)   5.51 states/eV/f.u.
Total energy   -29.6 eV per cell
Energy above the most stable polymorph in this dataset   0 meV/atom

(3)
A relaxed structure of Sr3HfCu, computed with PBE.

abc: 5.812 5.812 5.812
angles: 90.00 90.00 90.00
Element x y z (fractional)
Sr 0.000 0.000 0.500
Sr 0.000 0.500 0.000
Sr 0.500 0.000 0.000
Hf 0.500 0.500 0.500
Cu 0.000 0.000 0.000

Calculated values
Energy of formation from the pure elements   0.6613 eV per atom
D(E_F)   12.68 states/eV/f.u.
Total energy   -15.8 eV per cell
Energy above the most stable polymorph in this dataset   0 meV/atom

(4)
A relaxed structure of SrHf2Cu2, computed with PBE.

abc: 7.008 7.008 7.008
angles: 144.72 144.72 50.75
Element x y z (fractional)
Sr 0.000 0.000 0.000
Hf 0.250 0.750 0.500
Hf 0.750 0.250 0.500
Cu 0.392 0.392 0.000
Cu 0.608 0.608 0.000

Calculated values
Energy of formation from the pure elements   0.1806 eV per atom
D(E_F)   6.48 states/eV/f.u.
Total energy   -28.9 eV per cell
Energy above the most stable polymorph in this dataset   0 meV/atom

(5)
A relaxed structure of SrHf2Cu2, computed with PBE.

abc: 8.321 8.321 2.964
angles: 90.00 90.00 90.00
Element x y z (fractional)
Sr 0.000 0.000 0.000
Sr 0.500 0.500 0.000
Hf 0.127 0.373 0.000
Hf 0.373 0.873 0.000
Hf 0.627 0.127 0.000
Hf 0.873 0.627 0.000
Cu 0.167 0.667 0.500
Cu 0.333 0.167 0.500
Cu 0.667 0.833 0.500
Cu 0.833 0.333 0.500

Calculated values
Energy of formation from the pure elements   0.2316 eV per atom
D(E_F)   4.47 states/eV/f.u.
Total energy   -57.2 eV per cell
Energy above the most stable polymorph in this dataset   51 meV/atom

(6)
A relaxed structure of Sr2HfCu2, computed with PBE.

abc: 7.134 7.134 5.075
angles: 90.00 90.00 90.00
Element x y z (fractional)
Sr 0.179 0.321 0.000
Sr 0.321 0.821 0.000
Sr 0.679 0.179 0.000
Sr 0.821 0.679 0.000
Hf 0.000 0.000 0.500
Hf 0.500 0.500 0.500
Cu 0.126 0.626 0.500
Cu 0.374 0.126 0.500
Cu 0.626 0.874 0.500
Cu 0.874 0.374 0.500

Calculated values
Energy of formation from the pure elements   0.2372 eV per atom
D(E_F)   1.66 states/eV/f.u.
Total energy   -40.6 eV per cell

(7)
A relaxed structure of Sr2HfCuTe5, computed with PBE.

abc: 10.136 10.136 13.284
angles: 90.00 90.00 155.88
Element x y z (fractional)
Sr 0.118 0.882 0.500
Sr 0.120 0.880 0.866
Sr 0.880 0.120 0.366
Sr 0.882 0.118 0.000
Hf 0.189 0.811 0.191
Hf 0.811 0.189 0.691
Cu 0.423 0.577 0.606
Cu 0.577 0.423 0.106
Te 0.045 0.955 0.210
Te 0.297 0.703 0.841
Te 0.299 0.701 0.539
Te 0.339 0.661 0.184
Te 0.497 0.503 0.444
Te 0.503 0.497 0.944
Te 0.661 0.339 0.684
Te 0.701 0.299 0.039
Te 0.703 0.297 0.341
Te 0.955 0.045 0.710

Calculated values
D(E_F)   3.93 states/eV/f.u.
Total energy   -84.3 eV per cell
Formation energy without anion corrections   -1.005 eV per atom

(8)
A relaxed structure of SrHfTi2Cu, computed with PBE.

abc: 4.945 4.945 5.193
angles: 90.00 90.00 90.00
Element x y z (fractional)
Sr 0.000 0.000 0.000
Hf 0.500 0.500 0.500
Ti 0.000 0.500 0.500
Ti 0.500 0.000 0.500
Cu 0.500 0.500 0.000

Calculated values
Energy of formation from the pure elements   0.8338 eV per atom
D(E_F)   5.52 states/eV/f.u.
Total energy   -27.4 eV per cell